LiNi2BrF: optimized geometry, GGA+U.

abc: 4.815 4.815 3.488
angles: 90.00 90.00 90.00
Element x y z (fractional)
Li: 0.000 0.000 0.000
Ni: 0.000 0.500 0.000
Ni: 0.500 0.000 0.000
Br: 0.500 0.500 0.500
F: 0.000 0.000 0.500

- Calculated total energy: -2.312 eV/atom
- Space-group type: No. 123